# 1
The following is a GGA-PBE calculation of crystalline MgReCl2 at its relaxed geometry, from Alexandria via LeMat-Bulk.

Results
- energy (eV per atom) = -4.514
- space group = P4mm (99)
- excess energy over the best structure of this formula in the dataset (meV/atom) = 69.7
- D(E_F) (states/eV/f.u.) = 0.84
- ΔE_f (raw) (kJ per mole of atoms) = -7.8

a b c (Å): 3.0506 3.0506 8.3590
angles (deg): 90.00 90.00 90.00
With the nearest neighbours (Å) after each atom.
Element x y z (fractional)
Cl1 0.0000 0.0000 0.9073  4 Re 2.47
Cl2 0.5000 0.5000 0.3263  4 Mg 2.62
Re1 0.5000 0.5000 0.7627  4 Cl 2.47
Mg1 0.0000 0.0000 0.5037  4 Cl 2.62


# 2
The following is a GGA-PBE calculation of crystalline MgReCl2 at its relaxed geometry, from Alexandria via LeMat-Bulk.

Results
- energy (eV per atom) = -4.406
- space group = Cm (8)
- excess energy over the best structure of this formula in the dataset (meV/atom) = 178.3
- D(E_F) (states/eV/f.u.) = 1.46
- ΔE_f (raw) (kJ per mole of atoms) = 2.7

a b c (Å): 5.0205 5.0205 7.6558
angles (deg): 65.13 65.13 34.54
With the nearest neighbours (Å) after each atom.
Element x y z (fractional)
Mg1 0.5402 0.5402 0.4551  3 Re 2.72-2.75, 3 Cl 2.76-3.05, 2 Mg 2.98
Re1 0.3071 0.3071 0.3429  4 Cl 2.39-2.54
Cl1 0.7713 0.7713 0.6289  2 Re 2.54, 2 Mg 2.76
Cl2 0.8814 0.8814 0.0731  2 Re 2.39


# 3
The following is a GGA-PBE calculation of crystalline Mg2ReCl at its relaxed geometry, from Alexandria via LeMat-Bulk.

Results
- energy (eV per atom) = -3.637
- space group = I4/mmm (139)
- excess energy over the best structure of this formula in the dataset (meV/atom) = 900.8
- D(E_F) (states/eV/f.u.) = 2.59
- ΔE_f (raw) (kJ per mole of atoms) = 70.9

a b c (Å): 5.1847 5.1847 5.1847
angles (deg): 133.50 133.50 67.87
With the nearest neighbours (Å) after each atom.
Element x y z (fractional)
Mg1 0.5000 0.5000 0.0000  4 Mg 2.89, 4 Cl 2.97, 4 Re 2.97
Re1 0.2500 0.7500 0.5000  4 Cl 2.89, 8 Mg 2.97
Cl1 0.7500 0.2500 0.5000  4 Re 2.89, 8 Mg 2.97
Mg2 0.0000 0.0000 0.0000  4 Mg 2.89, 4 Cl 2.97, 4 Re 2.97